Computed, not measured: YHf2IrPb at its PBEsol-relaxed geometry at the meta-GGA SCAN level of DFT.

a = 5.1485 Å, b = 5.1485 Å, c = 5.4157 Å
α = 90.00°, β = 90.00°, γ = 90.00°
Last column: nearest neighbours and their distance in Å.
Space group P4/mmm (No. 123)
Inequivalent atoms, fractional coordinates:
Y: 0.0000 0.0000 0.0000 (multiplicity 1)  2 Pb 2.71
Hf: 0.0000 0.5000 0.5000 (multiplicity 2)  2 Pb 2.57
Ir: 0.5000 0.5000 0.0000 (multiplicity 1)  4 Y 3.64, 8 Hf 3.74
Pb: 0.0000 0.0000 0.5000 (multiplicity 1)  4 Hf 2.57, 2 Y 2.71

Formation enthalpy at 0 K: 1.45 eV per atom

---

Computed, not measured: Cd2PbAu at its PBEsol-relaxed geometry at the meta-GGA SCAN level of DFT.

a = 3.0587 Å, b = 5.4951 Å, c = 10.6434 Å
α = 90.00°, β = 90.00°, γ = 90.00°
Last column: nearest neighbours and their distance in Å.
Space group Immm (No. 71)
Inequivalent atoms, fractional coordinates:
Cd: 0.0000 0.0000 0.2247 (multiplicity 4)  2 Au 2.84, 2 Cd 3.06
Pb: 0.0000 0.5000 0.0000 (multiplicity 2)  2 Pb 3.06, 4 Au 3.14, 4 Cd 3.30
Au: 0.0000 0.5000 0.5000 (multiplicity 2)  4 Cd 2.84, 2 Au 3.06, 4 Pb 3.14

Formation enthalpy at 0 K: -0.02 eV per atom

---

Computed, not measured: NiPt2Pb at its PBEsol-relaxed geometry at the meta-GGA SCAN level of DFT.

a = 2.9564 Å, b = 3.6824 Å, c = 5.9576 Å
α = 90.00°, β = 90.00°, γ = 90.00°
Last column: nearest neighbours and their distance in Å.
Space group Pmm2 (No. 25)
Inequivalent atoms, fractional coordinates:
Ni: 0.0000 0.0000 0.0000 (multiplicity 1)  5 Pt 2.62, 4 Pb 2.89
Pt: 0.0000 0.0000 0.5601 (multiplicity 1)  1 Ni 2.62, 4 Pt 2.79, 4 Pb 2.90
Pt: 0.5000 0.5000 0.8099 (multiplicity 1)  4 Ni 2.62, 1 Pb 2.79, 4 Pt 2.79
Pb: 0.5000 0.5000 0.2783 (multiplicity 1)  5 Pt 2.79-2.90, 4 Ni 2.89, 2 Pb 2.96

Formation enthalpy at 0 K: 0.15 eV per atom

---

Computed, not measured: BaH6C4O10 at its PBEsol-relaxed geometry at the meta-GGA SCAN level of DFT.

a = 14.3651 Å, b = 5.3478 Å, c = 12.3582 Å
α = 90.00°, β = 114.92°, γ = 90.00°
Last column: nearest neighbours and their distance in Å.
Space group C2/c (No. 15)
Inequivalent atoms, fractional coordinates:
Ba: 0.0000 0.1572 0.2500 (multiplicity 4)  10 O 2.82-2.96
H: 0.1070 0.0763 0.0388 (multiplicity 8)  1 O 1.12
H: 0.1858 0.2822 0.8090 (multiplicity 8)  1 O 0.99
H: 0.2246 0.0941 0.7392 (multiplicity 8)  1 O 0.99
C: 0.0248 0.3902 0.9816 (multiplicity 8)  2 O 1.23-1.30
C: 0.2332 0.1630 0.5385 (multiplicity 8)  2 O 1.25-1.28
O: 0.0175 0.3716 0.8788 (multiplicity 8)  1 C 1.23
O: 0.0729 0.2360 0.0692 (multiplicity 8)  1 H 1.12
O: 0.1377 0.1087 0.4920 (multiplicity 8)  1 C 1.28, 1 H 1.31
O: 0.1803 0.1059 0.7821 (multiplicity 8)  2 H 0.99
O: 0.2016 0.4098 0.3622 (multiplicity 8)  1 C 1.25

---

Computed, not measured: LiZn2P at its PBEsol-relaxed geometry at the meta-GGA SCAN level of DFT.

a = 5.0550 Å, b = 9.8745 Å, c = 2.6009 Å
α = 90.00°, β = 118.66°, γ = 90.00°
Last column: nearest neighbours and their distance in Å.
Space group C2/m (No. 12)
Inequivalent atoms, fractional coordinates:
Li: 0.0000 0.0000 0.0000 (multiplicity 2)  4 P 2.53-2.62, 2 Li 2.60, 4 Zn 2.77
Zn: 0.2500 0.2500 0.0000 (multiplicity 4)  6 Zn 2.53-2.62, 2 Li 2.77, 2 P 2.77
P: 0.0000 0.5000 0.0000 (multiplicity 2)  4 Li 2.53-2.62, 2 P 2.60, 4 Zn 2.77

Formation enthalpy at 0 K: -0.12 eV per atom

---

Computed, not measured: YNb2InOs at its PBEsol-relaxed geometry at the meta-GGA SCAN level of DFT.

a = 4.7324 Å, b = 4.7324 Å, c = 5.1767 Å
α = 90.00°, β = 90.00°, γ = 90.00°
Last column: nearest neighbours and their distance in Å.
Space group P4/mmm (No. 123)
Inequivalent atoms, fractional coordinates:
Y: 0.0000 0.0000 0.0000 (multiplicity 1)  4 Nb 2.37, 2 In 2.59
Nb: 0.0000 0.5000 0.0000 (multiplicity 2)  2 Y 2.37
In: 0.0000 0.0000 0.5000 (multiplicity 1)  2 Y 2.59
Os: 0.5000 0.5000 0.5000 (multiplicity 1)  4 In 3.35, 8 Nb 3.51

Formation enthalpy at 0 K: 2.52 eV per atom

---

Computed, not measured: ZnGaRhPb2 at its PBEsol-relaxed geometry at the meta-GGA SCAN level of DFT.

a = 5.1416 Å, b = 5.1416 Å, c = 4.7834 Å
α = 90.00°, β = 90.00°, γ = 90.00°
Last column: nearest neighbours and their distance in Å.
Space group P4/mmm (No. 123)
Inequivalent atoms, fractional coordinates:
Zn: 0.0000 0.0000 0.0000 (multiplicity 1)  2 Rh 2.39
Ga: 0.5000 0.5000 0.0000 (multiplicity 1)  8 Pb 3.51, 4 Zn 3.64
Rh: 0.0000 0.0000 0.5000 (multiplicity 1)  2 Zn 2.39, 4 Pb 2.57
Pb: 0.0000 0.5000 0.5000 (multiplicity 2)  2 Rh 2.57

Formation enthalpy at 0 K: 0.20 eV per atom

---

Computed, not measured: LiPtAu at its PBEsol-relaxed geometry at the meta-GGA SCAN level of DFT.

a = 5.6387 Å, b = 5.6387 Å, c = 5.6387 Å
α = 90.00°, β = 90.00°, γ = 90.00°
Last column: nearest neighbours and their distance in Å.
Space group F-43m (No. 216)
Inequivalent atoms, fractional coordinates:
Li: 0.0000 0.0000 0.0000 (multiplicity 4)  4 Pt 2.44, 4 Au 2.44
Pt: 0.2500 0.2500 0.7500 (multiplicity 4)  4 Li 2.44
Au: 0.2500 0.2500 0.2500 (multiplicity 4)  4 Li 2.44

Formation enthalpy at 0 K: -0.17 eV per atom

---

Computed, not measured: CsAlFe2Mo at its PBEsol-relaxed geometry at the meta-GGA SCAN level of DFT.

a = 4.5131 Å, b = 4.5131 Å, c = 5.6296 Å
α = 90.00°, β = 90.00°, γ = 90.00°
Last column: nearest neighbours and their distance in Å.
Space group P4/mmm (No. 123)
Inequivalent atoms, fractional coordinates:
Cs: 0.0000 0.0000 0.0000 (multiplicity 1)  2 Al 2.81
Al: 0.0000 0.0000 0.5000 (multiplicity 1)  4 Fe 2.26
Fe: 0.0000 0.5000 0.5000 (multiplicity 2)  2 Al 2.26
Mo: 0.5000 0.5000 0.0000 (multiplicity 1)  4 Cs 3.19

Formation enthalpy at 0 K: 2.10 eV per atom

---

Computed, not measured: KAlSi2 at its PBEsol-relaxed geometry at the meta-GGA SCAN level of DFT.

a = 3.7411 Å, b = 6.1196 Å, c = 8.7371 Å
α = 90.00°, β = 90.00°, γ = 90.00°
Last column: nearest neighbours and their distance in Å.
Space group Imm2 (No. 44)
Inequivalent atoms, fractional coordinates:
K: 0.0000 0.0000 0.0000 (multiplicity 2)  8 Si 3.32-3.59, 4 Al 3.40-3.43
Al: 0.0000 0.5000 0.1706 (multiplicity 2)  2 Si 2.54
Si: 0.0000 0.0000 0.4737 (multiplicity 2)  2 Si 2.33, 2 Al 2.54
Si: 0.0000 0.5000 0.8143 (multiplicity 2)  2 Si 2.33

---

Computed, not measured: CrTcSb2 at its PBEsol-relaxed geometry at the meta-GGA SCAN level of DFT.

a = 6.2493 Å, b = 6.2493 Å, c = 11.0291 Å
α = 90.00°, β = 90.00°, γ = 90.00°
Last column: nearest neighbours and their distance in Å.
Space group I-42d (No. 122)
Inequivalent atoms, fractional coordinates:
Cr: 0.0000 0.0000 0.0000 (multiplicity 4)  4 Sb 2.67
Tc: 0.0000 0.0000 0.5000 (multiplicity 4)  4 Sb 2.54
Sb: 0.2329 0.7500 0.6250 (multiplicity 8)  2 Tc 2.54, 2 Cr 2.67

Distance to the lowest polymorph of the same formula: 438.9 meV per atom

---

Computed, not measured: Li5Tl at its PBEsol-relaxed geometry at the meta-GGA SCAN level of DFT.

a = 9.6726 Å, b = 4.7509 Å, c = 5.6514 Å
α = 90.00°, β = 124.55°, γ = 90.00°
Last column: nearest neighbours and their distance in Å.
Space group C2/m (No. 12)
Inequivalent atoms, fractional coordinates:
Li: 0.0000 0.0000 0.0000 (multiplicity 2)  2 Tl 2.83, 8 Li 2.89-3.10
Li: 0.1676 0.5000 0.4730 (multiplicity 4)  6 Li 2.74-2.89, 2 Tl 2.93
Li: 0.1679 0.5000 0.9629 (multiplicity 4)  7 Li 2.74-2.95, 1 Tl 2.91
Tl: 0.0000 0.0000 0.5000 (multiplicity 2)  10 Li 2.83-3.13

Distance to the lowest polymorph of the same formula: 0.0 meV per atom
Formation enthalpy at 0 K: -0.25 eV per atom

---

Computed, not measured: Mg2TaSi at its PBEsol-relaxed geometry at the meta-GGA SCAN level of DFT.

a = 2.8428 Å, b = 2.8428 Å, c = 8.7323 Å
α = 90.00°, β = 90.00°, γ = 90.00°
Last column: nearest neighbours and their distance in Å.
Space group P4/mmm (No. 123)
Inequivalent atoms, fractional coordinates:
Mg: 0.0000 0.0000 0.2390 (multiplicity 2)  4 Mg 2.84, 4 Si 2.90, 4 Ta 3.04
Ta: 0.5000 0.5000 0.5000 (multiplicity 1)  4 Ta 2.84, 8 Mg 3.04
Si: 0.5000 0.5000 0.0000 (multiplicity 1)  4 Si 2.84, 8 Mg 2.90

---

Computed, not measured: Sr2AgAs at its PBEsol-relaxed geometry at the meta-GGA SCAN level of DFT.

a = 4.5206 Å, b = 4.3361 Å, c = 11.5930 Å
α = 90.00°, β = 90.00°, γ = 90.00°
Last column: nearest neighbours and their distance in Å.
Space group Amm2 (No. 38)
Inequivalent atoms, fractional coordinates:
Sr: 0.0000 0.0000 0.0000 (multiplicity 2)  4 Ag 3.23, 3 As 3.28-3.32
Sr: 0.5000 0.0000 0.2769 (multiplicity 2)  4 As 3.21, 3 Ag 3.24-3.39
Ag: 0.5000 0.0000 0.5696 (multiplicity 2)  2 As 2.83
As: 0.0000 0.0000 0.7171 (multiplicity 2)  2 Ag 2.83

Formation enthalpy at 0 K: -0.82 eV per atom

---

Computed, not measured: HRuS2 at its PBEsol-relaxed geometry at the meta-GGA SCAN level of DFT.

a = 4.8770 Å, b = 4.8770 Å, c = 9.2449 Å
α = 90.00°, β = 90.00°, γ = 90.00°
Last column: nearest neighbours and their distance in Å.
Space group I-42d (No. 122)
Inequivalent atoms, fractional coordinates:
H: 0.0000 0.0000 0.0000 (multiplicity 4)  4 S 1.96
Ru: 0.0000 0.0000 0.5000 (multiplicity 4)  4 S 2.20
S: 0.2074 0.2500 0.1250 (multiplicity 8)  2 H 1.96

---

Computed, not measured: AlGe3Pt at its PBEsol-relaxed geometry at the meta-GGA SCAN level of DFT.

a = 4.6805 Å, b = 4.6805 Å, c = 4.6805 Å
α = 90.00°, β = 90.00°, γ = 90.00°
Last column: nearest neighbours and their distance in Å.
Space group Pm-3m (No. 221)
Inequivalent atoms, fractional coordinates:
Al: 0.0000 0.0000 0.0000 (multiplicity 1)  6 Ge 2.34
Ge: 0.0000 0.0000 0.5000 (multiplicity 3)  2 Al 2.34
Pt: 0.5000 0.5000 0.5000 (multiplicity 1)  12 Ge 3.31

Formation enthalpy at 0 K: 0.90 eV per atom

---

Computed, not measured: SrY2Cd at its PBEsol-relaxed geometry at the meta-GGA SCAN level of DFT.

a = 4.0548 Å, b = 5.4586 Å, c = 5.4906 Å
α = 90.00°, β = 90.00°, γ = 90.00°
Last column: nearest neighbours and their distance in Å.
Space group Pmmm (No. 47)
Inequivalent atoms, fractional coordinates:
Sr: 0.0000 0.0000 0.0000 (multiplicity 1)  4 Y 3.40, 4 Cd 3.41
Y: 0.0000 0.5000 0.5000 (multiplicity 1)  4 Cd 3.40, 4 Y 3.41
Y: 0.5000 0.5000 0.0000 (multiplicity 1)  4 Sr 3.40, 4 Y 3.41
Cd: 0.5000 0.0000 0.5000 (multiplicity 1)  4 Y 3.40, 4 Sr 3.41

Formation enthalpy at 0 K: 0.02 eV per atom

---

Computed, not measured: ZnHgRh3 at its PBEsol-relaxed geometry at the meta-GGA SCAN level of DFT.

a = 4.8385 Å, b = 4.8385 Å, c = 4.8385 Å
α = 90.00°, β = 90.00°, γ = 90.00°
Last column: nearest neighbours and their distance in Å.
Space group Pm-3m (No. 221)
Inequivalent atoms, fractional coordinates:
Zn: 0.0000 0.0000 0.0000 (multiplicity 1)  12 Rh 3.42
Hg: 0.5000 0.5000 0.5000 (multiplicity 1)  6 Rh 2.42
Rh: 0.0000 0.5000 0.5000 (multiplicity 3)  2 Hg 2.42

Formation enthalpy at 0 K: 1.74 eV per atom

---

Computed, not measured: MnIrBr2 at its PBEsol-relaxed geometry at the meta-GGA SCAN level of DFT.

a = 4.5384 Å, b = 4.5384 Å, c = 15.5443 Å
α = 90.00°, β = 90.00°, γ = 90.00°
Last column: nearest neighbours and their distance in Å.
Space group I-42d (No. 122)
Inequivalent atoms, fractional coordinates:
Mn: 0.0000 0.0000 0.0000 (multiplicity 4)  4 Br 2.54
Ir: 0.0000 0.0000 0.5000 (multiplicity 4)  4 Br 2.50
Br: 0.2417 0.2500 0.6250 (multiplicity 8)  2 Ir 2.50, 2 Mn 2.54

Distance to the lowest polymorph of the same formula: 473.6 meV per atom

---

Computed, not measured: Be2ReTe at its PBEsol-relaxed geometry at the meta-GGA SCAN level of DFT.

a = 4.0445 Å, b = 4.0445 Å, c = 3.2243 Å
α = 90.00°, β = 90.00°, γ = 90.00°
Last column: nearest neighbours and their distance in Å.
Space group P4/mmm (No. 123)
Inequivalent atoms, fractional coordinates:
Be: 0.0000 0.5000 0.0000 (multiplicity 2)  4 Te 2.59, 4 Re 2.59, 4 Be 2.86
Re: 0.0000 0.0000 0.5000 (multiplicity 1)  8 Be 2.59, 4 Te 2.86
Te: 0.5000 0.5000 0.5000 (multiplicity 1)  8 Be 2.59, 4 Re 2.86

---

no.,total DFT energy (no corrections) (Ry per atom),DOS at the Fermi energy (states/eV/cell)
1,-4.304,7.398
2,-3.783,2.160
3,-4.258,2.181
4,-0.671,0.000
5,-0.741,1.668
6,-2.745,4.308
7,-3.149,2.956
8,-3.485,5.005
9,-1.561,4.025
10,-0.629,3.485
11,-2.306,12.683
12,-1.051,3.458
13,-1.573,2.910
14,-1.827,0.838
15,-1.045,7.676
16,-1.922,2.149
17,-1.990,3.651
18,-2.562,3.717
19,-2.326,3.887
20,-2.110,1.439